# Pm2NiOs3 PBE-GGA relaxed
data_Pm2NiOs3
_cell_length_a 9.1947
_cell_length_b 5.2873
_cell_length_c 5.4432
_cell_angle_alpha 90.00
_cell_angle_beta 124.24
_cell_angle_gamma 90.00
_symmetry_space_group_name_H-M 'C 1 2/m 1'
_symmetry_Int_Tables_number 12
loop_
_symmetry_equiv_pos_as_xyz
'x,y,z'
'-x,-y,-z'
'-x,y,-z'
'x,-y,z'
'x+1/2,y+1/2,z'
'-x+1/2,-y+1/2,-z'
'-x+1/2,y+1/2,-z'
'x+1/2,-y+1/2,z'
loop_
_atom_site_label
_atom_site_fract_x
_atom_site_fract_y
_atom_site_fract_z
_atom_site_occupancy
Pm1 0.1231 0.0000 0.3694 1
Ni1 0.0000 0.5000 0.5000 1
Os1 0.0000 0.5000 0.0000 1
Os2 0.2500 0.2500 0.0000 1
# DOS at the Fermi energy: 3.62 states/eV/f.u.
# Formation enthalpy at 0 K: -0.226 eV/atom

***

# ZrPbCl3 PBE-GGA relaxed
data_ZrPbCl3
_cell_length_a 5.1054
_cell_length_b 5.1054
_cell_length_c 5.1054
_cell_angle_alpha 90.00
_cell_angle_beta 90.00
_cell_angle_gamma 90.00
_symmetry_space_group_name_H-M 'P m -3 m'
_symmetry_Int_Tables_number 221
_symmetry_space_group_name_Hall '-P 4 2 3'
loop_
_atom_site_label
_atom_site_fract_x
_atom_site_fract_y
_atom_site_fract_z
_atom_site_occupancy
Zr1 0.0000 0.0000 0.0000 1
Pb1 0.5000 0.5000 0.5000 1
Cl1 0.0000 0.0000 0.5000 1
# DOS at the Fermi energy: 5.13 states/eV/f.u.
# Energy above the lowest structure with this stoichiometry: 0 meV/atom
# Uncorrected formation energy: -0.78 eV/atom

***

# Ta2ZnNiIr PBE-GGA relaxed
data_Ta2ZnNiIr
_cell_length_a 4.5402
_cell_length_b 4.5402
_cell_length_c 4.2506
_cell_angle_alpha 90.00
_cell_angle_beta 90.00
_cell_angle_gamma 90.00
_symmetry_space_group_name_H-M 'P 4/m m m'
_symmetry_Int_Tables_number 123
_symmetry_space_group_name_Hall '-P 4 2'
loop_
_atom_site_label
_atom_site_fract_x
_atom_site_fract_y
_atom_site_fract_z
_atom_site_occupancy
Ta1 0.0000 0.5000 0.0000 1
Zn1 0.0000 0.0000 0.5000 1
Ni1 0.0000 0.0000 0.0000 1
Ir1 0.5000 0.5000 0.5000 1
# DOS at the Fermi energy: 4.91 states/eV/f.u.
# Formation enthalpy at 0 K: 0.712 eV/atom